Crystalline ZnRu at its relaxed geometry. Source: Alexandria via LeMat-Bulk, functional PBE.

a = 4.225 Å, b = 4.225 Å, c = 7.584 Å
α = 90.00°, β = 90.00°, γ = 120.00°
Atoms (fractional coordinates):
Ru 0.333 0.667 0.582
Ru 0.333 0.667 0.918
Ru 0.667 0.333 0.418
Ru 0.667 0.333 0.082
Zn 0.333 0.667 0.250
Zn 0.000 0.000 0.250
Zn 0.667 0.333 0.750
Zn 0.000 0.000 0.750

Values from the calculation:
**Final energy**: -0.3698 Ry per atom
**E_form**: 0.243 eV per atom
**Magnetic moment**: 0.00 μB/f.u.
**Volume**: 117.3 Å³/cell